1.
Below is crystalline HfNi at its relaxed geometry, with properties calculated at the PBE-GGA level.

DOS at the Fermi energy ... 8.96 states/eV per cell
Calculated formation energy ... 853 meV per atom
Total magnetic moment ... 0.00 Bohr magnetons per cell
Energy ... -84.17 eV for the cell shown

a = 6.968 Å, b = 6.968 Å, c = 6.968 Å
α = 90.00°, β = 90.00°, γ = 90.00°
Fractional coordinates of all 12 atoms:
Hf 0.000 0.250 0.500
Hf 0.000 0.750 0.500
Hf 0.250 0.500 0.000
Hf 0.500 0.000 0.250
Hf 0.500 0.000 0.750
Hf 0.750 0.500 0.000
Ni 0.000 0.500 0.250
Ni 0.000 0.500 0.750
Ni 0.250 0.000 0.500
Ni 0.500 0.250 0.000
Ni 0.500 0.750 0.000
Ni 0.750 0.000 0.500



2.
Below is crystalline HfNi6 at its relaxed geometry, with properties calculated at the PBE-GGA level.

DOS at the Fermi energy ... 43.71 states/eV per cell
Calculated formation energy ... -222 meV per atom
Total magnetic moment ... 5.78 Bohr magnetons per cell
Energy ... -184.80 eV for the cell shown

a = 7.676 Å, b = 4.703 Å, c = 9.576 Å
α = 90.00°, β = 90.00°, γ = 90.00°
Fractional coordinates of all 28 atoms:
Hf 0.245 0.250 0.063
Hf 0.255 0.750 0.563
Hf 0.745 0.250 0.437
Hf 0.755 0.750 0.937
Ni 0.054 0.750 0.083
Ni 0.065 0.007 0.306
Ni 0.065 0.493 0.306
Ni 0.103 0.250 0.519
Ni 0.149 0.750 0.848
Ni 0.186 0.250 0.758
Ni 0.314 0.750 0.258
Ni 0.351 0.250 0.348
Ni 0.397 0.750 0.019
Ni 0.435 0.507 0.806
Ni 0.435 0.993 0.806
Ni 0.446 0.250 0.583
Ni 0.554 0.750 0.417
Ni 0.565 0.007 0.194
Ni 0.565 0.493 0.194
Ni 0.603 0.250 0.981
Ni 0.649 0.750 0.652
Ni 0.686 0.250 0.742
Ni 0.814 0.750 0.242
Ni 0.851 0.250 0.152
Ni 0.897 0.750 0.481
Ni 0.935 0.507 0.694
Ni 0.935 0.993 0.694
Ni 0.946 0.250 0.917



3.
Below is crystalline HfNi6 at its relaxed geometry, with properties calculated at the PBE-GGA level.

DOS at the Fermi energy ... 7.01 states/eV per cell
Calculated formation energy ... 815 meV per atom
Total magnetic moment ... 4.35 Bohr magnetons per cell
Energy ... -38.93 eV for the cell shown

a = 5.265 Å, b = 5.265 Å, c = 5.265 Å
α = 109.47°, β = 109.47°, γ = 109.47°
Fractional coordinates of all 7 atoms:
Hf 0.000 0.000 0.000
Ni 0.250 0.500 0.750
Ni 0.250 0.750 0.500
Ni 0.500 0.250 0.750
Ni 0.500 0.750 0.250
Ni 0.750 0.250 0.500
Ni 0.750 0.500 0.250



4.
Below is crystalline Hf3Ni at its relaxed geometry, with properties calculated at the PBE-GGA level.

DOS at the Fermi energy ... 4.64 states/eV per cell
Calculated formation energy ... -189 meV per atom
Total magnetic moment ... 0.00 Bohr magnetons per cell
Energy ... -36.40 eV for the cell shown

a = 5.651 Å, b = 5.651 Å, c = 5.651 Å
α = 147.38°, β = 64.56°, γ = 125.97°
Fractional coordinates of all 4 atoms:
Hf 0.000 0.000 0.000
Hf 0.242 0.449 0.793
Hf 0.656 0.449 0.207
Ni 0.606 0.106 0.500



5.
Below is crystalline Hf3Ni at its relaxed geometry, with properties calculated at the PBE-GGA level.

DOS at the Fermi energy ... 8.70 states/eV per cell
Calculated formation energy ... 36 meV per atom
Total magnetic moment ... 0.00 Bohr magnetons per cell
Energy ... -70.99 eV for the cell shown

a = 5.966 Å, b = 5.966 Å, c = 4.945 Å
α = 90.00°, β = 90.00°, γ = 120.00°
Fractional coordinates of all 8 atoms:
Hf 0.172 0.344 0.250
Hf 0.172 0.828 0.250
Hf 0.344 0.172 0.750
Hf 0.656 0.828 0.250
Hf 0.828 0.172 0.750
Hf 0.828 0.656 0.750
Ni 0.333 0.667 0.750
Ni 0.667 0.333 0.250



6.
Below is crystalline Hf2Ni at its relaxed geometry, with properties calculated at the PBE-GGA level.

DOS at the Fermi energy ... 5.85 states/eV per cell
Calculated formation energy ... -321 meV per atom
Total magnetic moment ... 0.00 Bohr magnetons per cell
Energy ... -53.30 eV for the cell shown

a = 5.505 Å, b = 5.505 Å, c = 7.790 Å
α = 121.99°, β = 121.99°, γ = 34.03°
Fractional coordinates of all 6 atoms:
Hf 0.078 0.078 0.354
Hf 0.340 0.340 0.934
Hf 0.660 0.660 0.066
Hf 0.922 0.922 0.646
Ni 0.364 0.364 0.342
Ni 0.636 0.636 0.658



7.
Below is crystalline Hf4Ni at its relaxed geometry, with properties calculated at the PBE-GGA level.

DOS at the Fermi energy ... 3.62 states/eV per cell
Calculated formation energy ... 284 meV per atom
Total magnetic moment ... 0.00 Bohr magnetons per cell
Energy ... -44.17 eV for the cell shown

a = 4.814 Å, b = 4.814 Å, c = 4.814 Å
α = 90.00°, β = 90.00°, γ = 90.00°
Fractional coordinates of all 5 atoms:
Hf 0.000 0.000 0.000
Hf 0.000 0.500 0.500
Hf 0.500 0.000 0.500
Hf 0.500 0.500 0.000
Ni 0.500 0.500 0.500



8.
Below is crystalline HfNpNi4 at its relaxed geometry, with properties calculated at the PBE-GGA level.

DOS at the Fermi energy ... 11.31 states/eV per cell
Calculated formation energy ... -237 meV per atom
Total magnetic moment ... 4.14 Bohr magnetons per cell
Energy ... -47.44 eV for the cell shown

a = 4.958 Å, b = 4.958 Å, c = 4.958 Å
α = 60.00°, β = 60.00°, γ = 60.00°
Fractional coordinates of all 6 atoms:
Hf 0.000 0.000 0.000
Np 0.750 0.750 0.750
Ni 0.375 0.375 0.375
Ni 0.375 0.375 0.876
Ni 0.375 0.876 0.375
Ni 0.876 0.375 0.375



9.
Below is crystalline HfNpNi10 at its relaxed geometry, with properties calculated at the PBE-GGA level.

DOS at the Fermi energy ... 19.43 states/eV per cell
Calculated formation energy ... -207 meV per atom
Total magnetic moment ... 0.60 Bohr magnetons per cell
Energy ... -83.19 eV for the cell shown

a = 3.955 Å, b = 4.778 Å, c = 8.308 Å
α = 90.00°, β = 90.00°, γ = 90.00°
Fractional coordinates of all 12 atoms:
Hf 0.000 0.000 0.000
Np 0.000 0.500 0.500
Ni 0.000 0.000 0.328
Ni 0.000 0.000 0.672
Ni 0.000 0.500 0.163
Ni 0.000 0.500 0.837
Ni 0.500 0.000 0.500
Ni 0.500 0.248 0.245
Ni 0.500 0.248 0.755
Ni 0.500 0.500 0.000
Ni 0.500 0.752 0.245
Ni 0.500 0.752 0.755



10.
Below is crystalline HfNpNi14 at its relaxed geometry, with properties calculated at the PBE-GGA level.

DOS at the Fermi energy ... 27.29 states/eV per cell
Calculated formation energy ... -111 meV per atom
Total magnetic moment ... 1.38 Bohr magnetons per cell
Energy ... -105.61 eV for the cell shown

a = 5.224 Å, b = 5.224 Å, c = 7.090 Å
α = 90.00°, β = 90.00°, γ = 90.00°
Fractional coordinates of all 16 atoms:
Hf 0.000 0.000 0.000
Np 0.500 0.500 0.000
Ni 0.000 0.000 0.500
Ni 0.000 0.500 0.000
Ni 0.000 0.500 0.500
Ni 0.251 0.251 0.263
Ni 0.251 0.251 0.737
Ni 0.251 0.749 0.263
Ni 0.251 0.749 0.737
Ni 0.500 0.000 0.000
Ni 0.500 0.000 0.500
Ni 0.500 0.500 0.500
Ni 0.749 0.251 0.263
Ni 0.749 0.251 0.737
Ni 0.749 0.749 0.263
Ni 0.749 0.749 0.737



11.
Below is crystalline Hf2NpNi at its relaxed geometry, with properties calculated at the PBE-GGA level.

DOS at the Fermi energy ... 6.09 states/eV per cell
Calculated formation energy ... 166 meV per atom
Total magnetic moment ... 3.41 Bohr magnetons per cell
Energy ... -37.97 eV for the cell shown

a = 4.929 Å, b = 4.929 Å, c = 3.078 Å
α = 90.00°, β = 90.00°, γ = 90.00°
Fractional coordinates of all 4 atoms:
Hf 0.000 0.500 0.000
Hf 0.500 0.000 0.000
Np 0.000 0.000 0.500
Ni 0.500 0.500 0.500



12.
Below is crystalline HfNp2NiS4 at its relaxed geometry, with properties calculated at the PBE-GGA level.

ΔE_f (raw) ... -8.273 eV per formula unit
DOS at the Fermi energy ... 11.11 states/eV per cell
Total magnetic moment ... 8.21 Bohr magnetons per cell
Energy ... -66.40 eV for the cell shown

a = 5.703 Å, b = 5.703 Å, c = 5.703 Å
α = 108.31°, β = 108.31°, γ = 111.82°
Fractional coordinates of all 8 atoms:
Hf 0.000 0.000 0.000
Np 0.000 0.500 0.500
Np 0.500 0.000 0.500
Ni 0.500 0.500 0.000
S 0.092 0.472 0.000
S 0.472 0.092 0.000
S 0.528 0.528 0.620
S 0.908 0.908 0.380



13.
Below is crystalline HfNp2NiS5 at its relaxed geometry, with properties calculated at the PBE-GGA level.

ΔE_f (raw) ... -11.887 eV per formula unit
DOS at the Fermi energy ... 32.95 states/eV per cell
Total magnetic moment ... 15.29 Bohr magnetons per cell
Energy ... -148.28 eV for the cell shown

a = 8.185 Å, b = 8.185 Å, c = 11.466 Å
α = 90.00°, β = 90.00°, γ = 154.05°
Fractional coordinates of all 18 atoms:
Hf 0.177 0.823 0.500
Hf 0.823 0.177 0.000
Np 0.107 0.893 0.826
Np 0.121 0.879 0.177
Np 0.879 0.121 0.677
Np 0.893 0.107 0.326
Ni 0.439 0.561 0.902
Ni 0.561 0.439 0.402
S 0.019 0.981 0.500
S 0.306 0.694 0.159
S 0.306 0.694 0.842
S 0.341 0.659 0.499
S 0.500 0.500 0.230
S 0.500 0.500 0.730
S 0.659 0.341 0.999
S 0.694 0.306 0.342
S 0.694 0.306 0.659
S 0.981 0.019 0.000